Here is Ce3Pm2ThAs6 after structural relaxation from the Alexandria database. Energies are from PBE.

a b c (Å): 4.2320 8.4688 9.4685
angles (deg): 103.04 102.91 90.00
Last column: nearest neighbours and their distance in Å.
Sites, in units of the cell vectors:
As1 0.3342 0.4145 0.6684  3 Ce 2.97-2.98, 3 Pm 2.99-3.00
As2 0.6658 0.5855 0.3316  3 Ce 2.97-2.98, 3 Pm 2.99-3.00
As3 0.6669 0.0815 0.3338  3 Ce 2.98-2.99, 1 Th 3.00, 2 Pm 3.01
As4 0.3331 0.9185 0.6662  3 Ce 2.98-2.99, 1 Th 3.00, 2 Pm 3.01
As5 0.9996 0.2507 0.9992  3 Ce 2.99-3.00, 2 Th 3.00, 1 Pm 3.01
As6 0.0004 0.7493 0.0008  3 Ce 2.99-3.00, 2 Th 3.00, 1 Pm 3.01
Th1 0.5000 0.0000 0.0000  6 As 3.00
Ce1 0.1672 0.8324 0.3345  6 As 2.97-3.00
Ce2 0.5000 0.5000 0.0000  6 As 2.98-2.99
Ce3 0.8328 0.1676 0.6655  6 As 2.97-3.00
Pm1 0.1675 0.3351 0.3349  6 As 2.99-3.01
Pm2 0.8325 0.6649 0.6651  6 As 2.99-3.01

* calculated formation energy: -17.618 eV per formula unit
* DOS(E_F): 1.5120 states/eV per atom